Compound: ScGa2F
Source: the Alexandria database
Functional: PBE
Structure: optimized geometry

```
ScGa2F
1.0
0.000 3.304 3.304
3.304 0.000 3.304
3.304 3.304 0.000
Sc Ga F
1 2 1
direct
0.500 0.500 0.500 Sc
0.250 0.250 0.250 Ga
0.750 0.750 0.750 Ga
0.000 0.000 0.000 F
```

Mass density   4.68 g cm⁻³
VASP energy   -4.05 eV/atom
N(E_F)   0.4078 states/eV/atom
Volume   18.0 Å³/atom
Uncorrected formation energy   -0.49 eV per atom
Space group   Fm-3m
M_tot   0.0 μB per cell